Material: Sr2Li3Tl4
Method: DFT, PBE
State: optimized geometry

Properties
DFT total energy (eV for the cell shown): -42.3
Total moment (μB/cell): 0.00
Formation energy from the elements (eV per atom): -0.285
Mass density (g/cm³): 6.9
Space group: No. 64

Structure (POSCAR):
```
Sr2Li3Tl4
1.0
6.4340 0.0000 0.0000
0.0000 8.8568 0.0000
-3.2170 0.0000 8.5892
Sr Li Tl
4 6 8
Cartesian
0.0000 5.2453 1.8811 Sr
3.2170 3.6115 6.7081 Sr
0.0000 0.8169 6.7081 Sr
3.2170 8.0399 1.8811 Sr
0.0000 0.0000 0.0000 Li
3.2170 4.4284 0.0000 Li
1.6085 6.6426 4.6794 Li
4.8255 2.2142 3.9099 Li
1.6085 2.2142 3.9099 Li
-1.6085 6.6426 4.6794 Li
1.6085 6.6426 7.5422 Tl
4.8255 2.2142 1.0471 Tl
1.6085 2.2142 1.0471 Tl
-1.6085 6.6426 7.5422 Tl
0.0000 8.6796 3.0992 Tl
3.2170 0.1772 5.4900 Tl
0.0000 4.2512 5.4900 Tl
3.2170 4.6056 3.0992 Tl
```